[1]
PBE-GGA NaLa3Os, relaxed; D(E_F) = 1.3681 states/eV per atom; polymorph energy (0 for the lowest one) = 0.734 eV per atom; symmetry = Cmcm (63); V = 517.1 Å³ per cell; formation energy from the elements = 0.643 eV per atom; theoretical density = 4.046 g/cm3
1.0
3.645 -13.173 0.000
3.645 13.173 0.000
0.000 0.000 5.385
Na La Os
2 6 2
Direct
0.123 0.877 0.750
0.877 0.123 0.250
0.000 0.000 0.000
0.000 0.000 0.500
0.031 0.436 0.750
0.436 0.031 0.250
0.564 0.969 0.750
0.969 0.564 0.250
0.233 0.767 0.750
0.767 0.233 0.250

=====

[2]
PBE-GGA CaPuP2, relaxed; D(E_F) = 2.6018 states/eV per atom; polymorph energy (0 for the lowest one) = 0.090 eV per atom; symmetry = R3m (160); V = 287.3 Å³ per cell; formation energy from the elements = -1.001 eV per atom; theoretical density = 6.000 g/cm3
1.0
4.036 0.000 0.000
-2.018 3.495 0.000
0.000 0.000 20.367
Ca Pu P
3 3 6
Direct
0.000 0.000 0.000
0.333 0.667 0.667
0.667 0.333 0.333
0.000 0.000 0.172
0.333 0.667 0.838
0.667 0.333 0.505
0.000 0.000 0.578
0.000 0.000 0.763
0.333 0.667 0.245
0.333 0.667 0.430
0.667 0.333 0.096
0.667 0.333 0.911

=====

[3]
PBE-GGA AlRe2Si, relaxed; D(E_F) = 0.6777 states/eV per atom; polymorph energy (0 for the lowest one) = 0.257 eV per atom; symmetry = C2/m (12); V = 115.1 Å³ per cell; E_form (uncorrected) = -0.013 eV/atom; theoretical density = 12.335 g/cm3
1.0
8.499 0.000 0.000
0.000 2.876 0.000
-1.003 0.000 4.708
Al Re Si
2 4 2
Direct
0.000 0.000 0.000
0.500 0.500 0.000
0.237 0.000 0.737
0.263 0.500 0.263
0.737 0.500 0.737
0.763 0.000 0.263
0.000 0.500 0.500
0.500 0.000 0.500

=====

Please write out number 3 again, unchanged.
PBE-GGA AlRe2Si, relaxed; D(E_F) = 0.6777 states/eV per atom; polymorph energy (0 for the lowest one) = 0.257 eV per atom; symmetry = C2/m (12); V = 115.1 Å³ per cell; E_form (uncorrected) = -0.013 eV/atom; theoretical density = 12.335 g/cm3
1.0
8.499 0.000 0.000
0.000 2.876 0.000
-1.003 0.000 4.708
Al Re Si
2 4 2
Direct
0.000 0.000 0.000
0.500 0.500 0.000
0.237 0.000 0.737
0.263 0.500 0.263
0.737 0.500 0.737
0.763 0.000 0.263
0.000 0.500 0.500
0.500 0.000 0.500

=====

- Which value of D(E_F) does entry 3 give?
  0.6777 states/eV per atom

=====

- Look up the theoretical density of the third one.
  12.335 g/cm3

=====

- Among the records above, which one has the lowest V?
  AlRe2Si